A plane-wave DFT calculation with PBE was carried out for Ta10Re3 after structural relaxation.

Cell: 5.4437 5.4437 27.6069 Å, 90.00 90.00 120.00°
Space group R-3m (No. 166, hexagonal axes)
Unique sites:
1 Ta 0.0000 0.0000 0.0487
2 Ta 0.0000 0.0000 0.3328
3 Ta 0.0035 0.5018 0.9076
4 Re 0.0000 0.0000 0.1434
5 Re 0.0000 0.0000 0.5000

Computed properties:
Total DFT energy (no corrections)   -11.758 eV per atom
Calculated volume   18.166 Å³/atom
Excess energy over the best structure of this formula in the dataset   18.7 kJ per mole of atoms